SbMo2Pt | PBE | relaxed

Properties
Energy in eV per atom: -7.64
M_tot in μB per atom: 0.3896
ρ in g/cm³: 12.26

a b c (Å): 4.6022 4.6022 4.6022
angles (deg): 60.00 60.00 60.00
Closest atoms and distances in Å follow each position.
Atoms (fractional coordinates):
Mo (0.0000, 0.0000, 0.0000)  4 Mo 2.82, 4 Pt 2.82
Mo (0.7500, 0.7500, 0.7500)  4 Sb 2.82, 4 Mo 2.82
Pt (0.2500, 0.2500, 0.2500)  4 Sb 2.82, 4 Mo 2.82
Sb (0.5000, 0.5000, 0.5000)  4 Mo 2.82, 4 Pt 2.82

LiAl2Cu5 | PBE | relaxed

Properties
Energy in eV per atom: -3.69
Excess energy over the best structure of this formula in the dataset in meV/atom: 4
ρ in g/cm³: 6.39

a b c (Å): 7.1648 7.1648 7.1648
angles (deg): 132.39 132.39 69.61
Closest atoms and distances in Å follow each position.
Atoms (fractional coordinates):
Al (0.0000, 0.0000, 0.0000)  8 Cu 2.51-2.53
Al (0.5000, 0.5000, 0.0000)  8 Cu 2.51-2.53
Al (0.7500, 0.2500, 0.5000)  8 Cu 2.51-2.53
Al (0.2500, 0.7500, 0.5000)  8 Cu 2.51-2.53
Cu (0.2500, 0.2500, 0.0000)  8 Cu 2.53
Cu (0.6274, 0.1250, 0.0024)  2 Li 2.51, 4 Al 2.51-2.53, 2 Cu 2.53
Cu (0.8750, 0.3774, 0.0024)  2 Li 2.51, 4 Al 2.51-2.53, 2 Cu 2.53
Cu (0.1226, 0.1250, 0.4976)  4 Al 2.51-2.53, 2 Li 2.51, 2 Cu 2.53
Cu (0.8750, 0.8726, 0.4976)  2 Li 2.51, 4 Al 2.51-2.53, 2 Cu 2.53
Cu (0.5000, 0.0000, 0.5000)  8 Cu 2.53
Cu (0.3750, 0.3774, 0.5024)  2 Li 2.51, 4 Al 2.51-2.53, 2 Cu 2.53
Cu (0.6274, 0.6250, 0.5024)  2 Li 2.51, 4 Al 2.51-2.53, 2 Cu 2.53
Cu (0.1226, 0.6250, 0.9976)  2 Li 2.51, 4 Al 2.51-2.53, 2 Cu 2.53
Cu (0.3750, 0.8726, 0.9976)  2 Li 2.51, 4 Al 2.51-2.53, 2 Cu 2.53
Li (0.7500, 0.7500, 0.0000)  8 Cu 2.51
Li (0.0000, 0.5000, 0.5000)  8 Cu 2.51

Ho3GaS6 | PBE | relaxed

Properties
Energy in eV per atom: -5.88
M_tot in μB per atom: 0.0000
ρ in g/cm³: 5.56

a b c (Å): 8.4809 8.4809 6.4419
angles (deg): 90.00 90.00 102.59
Closest atoms and distances in Å follow each position.
Atoms (fractional coordinates):
Ga (0.2005, 0.7995, 0.2609)  4 S 2.28-2.33
Ga (0.7995, 0.2005, 0.7609)  4 S 2.28-2.33
Ho (0.5980, 0.4020, 0.1365)  7 S 2.71-3.01
Ho (0.0867, 0.2838, 0.2265)  7 S 2.66-2.95
Ho (0.7162, 0.9133, 0.2265)  7 S 2.66-2.95
Ho (0.4020, 0.5980, 0.6365)  7 S 2.71-3.01
Ho (0.2838, 0.0867, 0.7265)  7 S 2.66-2.95
Ho (0.9133, 0.7162, 0.7265)  7 S 2.66-2.95
S (0.0391, 0.9609, 0.4076)  1 Ga 2.33
S (0.7824, 0.2176, 0.4089)  1 Ga 2.28
S (0.3681, 0.3076, 0.4310)  4 Ho 2.66-2.76
S (0.6924, 0.6319, 0.4310)  4 Ho 2.66-2.76
S (0.1001, 0.5668, 0.4431)  1 Ga 2.29
S (0.4332, 0.8999, 0.4431)  1 Ga 2.29
S (0.9609, 0.0391, 0.9076)  1 Ga 2.33
S (0.2176, 0.7824, 0.9089)  1 Ga 2.28
S (0.3076, 0.3681, 0.9310)  4 Ho 2.66-2.76
S (0.6319, 0.6924, 0.9310)  4 Ho 2.66-2.76
S (0.5668, 0.1001, 0.9431)  1 Ga 2.29
S (0.8999, 0.4332, 0.9431)  1 Ga 2.29

LiPdAu2 | PBE | relaxed

Properties
Energy in eV per atom: -3.81
Excess energy over the best structure of this formula in the dataset in meV/atom: 0
ρ in g/cm³: 13.00

a b c (Å): 4.0499 4.0499 3.9508
angles (deg): 90.00 90.00 90.00
Closest atoms and distances in Å follow each position.
Atoms (fractional coordinates):
Au (0.5000, 0.0000, 0.5000)  4 Li 2.83, 4 Pd 2.83, 4 Au 2.86
Au (0.0000, 0.5000, 0.5000)  4 Li 2.83, 4 Pd 2.83, 4 Au 2.86
Li (0.5000, 0.5000, 0.0000)  8 Au 2.83, 4 Pd 2.86
Pd (0.0000, 0.0000, 0.0000)  8 Au 2.83, 4 Li 2.86

- Which value of energy does entry 1 give?
  -7.64 eV per atom